Density functional theory data (PBE-GGA) for a relaxed SrZrMn2Sn crystal.

Values from the calculation:
- Formation enthalpy at 0 K: 0.546 eV/atom
- Crystal system: tetragonal

a b c (Å): 5.075 5.075 5.680
angles (deg): 90.00 90.00 90.00
Atoms (fractional coordinates):
Sr  0.000  0.000  0.000
Zr  0.500  0.500  0.500
Mn  0.000  0.500  0.500
Mn  0.500  0.000  0.500
Sn  0.500  0.500  0.000

Density functional theory data (PBE-GGA) for a relaxed Ba2IrAu crystal.

Values from the calculation:
- Formation enthalpy at 0 K: -0.194 eV/atom
- Offset from the most stable computed form: 41 kJ/mol of formula units
- Crystal system: monoclinic

a b c (Å): 4.602 4.602 8.203
angles (deg): 106.21 106.21 59.94
Atoms (fractional coordinates):
Ba  0.238  0.238  0.216
Ba  0.762  0.762  0.784
Ir  0.500  0.500  0.000
Au  0.000  0.000  0.500

Density functional theory data (PBE-GGA) for a relaxed Tb12H5Ru3 crystal.

Values from the calculation:
- Crystal system: cubic

a b c (Å): 13.090 13.090 13.090
angles (deg): 109.47 109.47 109.47
Atoms (fractional coordinates):
Tb  0.029  0.218  0.123
Tb  0.029  0.311  0.906
Tb  0.094  0.623  0.405
Tb  0.094  0.971  0.689
Tb  0.095  0.718  0.689
Tb  0.095  0.877  0.406
Tb  0.123  0.029  0.218
Tb  0.123  0.594  0.905
Tb  0.189  0.218  0.595
Tb  0.189  0.471  0.594
Tb  0.218  0.123  0.029
Tb  0.218  0.595  0.189
Tb  0.282  0.311  0.905
Tb  0.282  0.471  0.377
Tb  0.311  0.905  0.282
Tb  0.311  0.906  0.029
Tb  0.377  0.282  0.471
Tb  0.377  0.595  0.906
Tb  0.405  0.094  0.623
Tb  0.405  0.811  0.782
Tb  0.406  0.095  0.877
Tb  0.406  0.811  0.529
Tb  0.471  0.377  0.282
Tb  0.471  0.594  0.189
Tb  0.529  0.406  0.811
Tb  0.529  0.623  0.718
Tb  0.594  0.189  0.471
Tb  0.594  0.905  0.123
Tb  0.595  0.189  0.218
Tb  0.595  0.906  0.377
Tb  0.623  0.405  0.094
Tb  0.623  0.718  0.529
Tb  0.689  0.094  0.971
Tb  0.689  0.095  0.718
Tb  0.718  0.529  0.623
Tb  0.718  0.689  0.095
Tb  0.782  0.405  0.811
Tb  0.782  0.877  0.971
Tb  0.811  0.529  0.406
Tb  0.811  0.782  0.405
Tb  0.877  0.406  0.095
Tb  0.877  0.971  0.782
Tb  0.905  0.123  0.594
Tb  0.905  0.282  0.311
Tb  0.906  0.029  0.311
Tb  0.906  0.377  0.595
Tb  0.971  0.689  0.094
Tb  0.971  0.782  0.877
H  0.000  0.000  0.000
H  0.000  0.000  0.500
H  0.000  0.500  0.000
H  0.000  0.500  0.500
H  0.125  0.750  0.875
H  0.125  0.875  0.250
H  0.250  0.125  0.875
H  0.250  0.625  0.375
H  0.375  0.250  0.625
H  0.375  0.625  0.750
H  0.500  0.000  0.000
H  0.500  0.000  0.500
H  0.500  0.500  0.000
H  0.500  0.500  0.500
H  0.625  0.375  0.250
H  0.625  0.750  0.375
H  0.750  0.375  0.625
H  0.750  0.875  0.125
H  0.875  0.125  0.750
H  0.875  0.250  0.125
Ru  0.125  0.250  0.375
Ru  0.125  0.375  0.750
Ru  0.250  0.375  0.125
Ru  0.250  0.875  0.625
Ru  0.375  0.125  0.250
Ru  0.375  0.750  0.125
Ru  0.625  0.250  0.875
Ru  0.625  0.875  0.750
Ru  0.750  0.125  0.375
Ru  0.750  0.625  0.875
Ru  0.875  0.625  0.250
Ru  0.875  0.750  0.625

Energy, respectively: -29.841 -16.760 -425.466 eV per cell.
DOS at the Fermi energy, respectively: 0.84 1.51 0.69 states/eV per atom.
Theoretical density, respectively: 4.626 7.745 8.522 g/cm³.